VASP calculation (GGA-PBE) on a relaxed structure of Pm6CBr3N2.

Lattice parameters (Å, degrees): 6.462 6.462 7.609 98.14 98.14 120.00
Element x y z (fractional)
Pm: 0.940 0.605 0.821
Pm: 0.724 0.724 0.179
Pm: 0.060 0.395 0.179
Pm: 0.605 0.940 0.821
Pm: 0.276 0.276 0.821
Pm: 0.395 0.060 0.179
C: 0.000 0.000 0.000
Br: 0.165 0.835 0.500
Br: 0.835 0.165 0.500
Br: 0.500 0.500 0.500
N: 0.333 0.667 0.000
N: 0.667 0.333 0.000

Calculated values
Electronic total energy, eV/atom: -6.214
SG: C2/m, No. 12
Formation energy without anion corrections, eV per atom: -1.265

***

VASP calculation (GGA-PBE) on a relaxed structure of Pm6C2BrN3.

Lattice parameters (Å, degrees): 3.704 7.661 8.374 102.38 102.78 90.00
Element x y z (fractional)
Pm: 0.319 0.904 0.639
Pm: 0.669 0.588 0.338
Pm: 0.681 0.096 0.361
Pm: 0.003 0.291 0.006
Pm: 0.997 0.709 0.994
Pm: 0.331 0.412 0.662
C: 0.837 0.670 0.673
C: 0.163 0.330 0.327
Br: 0.500 0.000 0.000
N: 0.500 0.500 0.000
N: 0.832 0.170 0.664
N: 0.168 0.830 0.336

Calculated values
Electronic total energy, eV/atom: -7.013
SG: C2/m, No. 12
Formation energy without anion corrections, eV per atom: -0.880

***

VASP calculation (GGA-PBE) on a relaxed structure of Pr8C3Br4N.

Lattice parameters (Å, degrees): 7.634 8.722 7.647 116.09 119.94 90.00
Element x y z (fractional)
Pr: 0.226 0.682 0.956
Pr: 0.226 0.682 0.453
Pr: 0.272 0.316 0.543
Pr: 0.730 0.682 0.956
Pr: 0.270 0.318 0.044
Pr: 0.728 0.684 0.457
Pr: 0.774 0.318 0.547
Pr: 0.774 0.318 0.044
C: 0.500 0.500 0.000
C: 0.500 0.500 0.500
C: 0.000 0.500 0.500
Br: 0.500 0.000 0.000
Br: 0.500 0.000 0.500
Br: 0.000 0.000 0.000
Br: 0.000 0.000 0.500
N: 0.000 0.500 0.000

Calculated values
Electronic total energy, eV/atom: -6.060
SG: C2/m, No. 12
Formation energy without anion corrections, eV per atom: -1.002

***

VASP calculation (GGA-PBE) on a relaxed structure of Pr6C2Br3N.

Lattice parameters (Å, degrees): 6.602 6.602 7.830 98.08 98.08 120.00
Element x y z (fractional)
Pr: 0.939 0.609 0.818
Pr: 0.730 0.730 0.182
Pr: 0.061 0.391 0.182
Pr: 0.609 0.939 0.818
Pr: 0.270 0.270 0.818
Pr: 0.391 0.061 0.182
C: 0.334 0.666 0.000
C: 0.666 0.334 0.000
Br: 0.169 0.831 0.500
Br: 0.831 0.169 0.500
Br: 0.500 0.500 0.500
N: 0.000 0.000 0.000

Calculated values
Electronic total energy, eV/atom: -6.090
SG: C2/m, No. 12
Formation energy without anion corrections, eV per atom: -1.051

***

VASP calculation (GGA-PBE) on a relaxed structure of Pr4CBr2N.

Lattice parameters (Å, degrees): 3.800 6.580 7.806 106.39 90.00 90.00
Element x y z (fractional)
Pr: 0.500 0.224 0.180
Pr: 0.500 0.776 0.820
Pr: 0.000 0.269 0.818
Pr: 0.000 0.731 0.182
C: 0.500 0.500 0.000
Br: 0.500 0.000 0.500
Br: 0.000 0.500 0.500
N: 0.000 0.000 0.000

Calculated values
Electronic total energy, eV/atom: -6.142
SG: P2/m, No. 10
Formation energy without anion corrections, eV per atom: -1.140

***

VASP calculation (GGA-PBE) on a relaxed structure of Pr8CBr4N3.

Lattice parameters (Å, degrees): 7.574 8.630 7.564 115.95 120.04 90.00
Element x y z (fractional)
Pr: 0.228 0.680 0.952
Pr: 0.228 0.680 0.457
Pr: 0.274 0.321 0.548
Pr: 0.723 0.680 0.952
Pr: 0.277 0.320 0.048
Pr: 0.726 0.679 0.452
Pr: 0.772 0.320 0.543
Pr: 0.772 0.320 0.048
C: 0.000 0.500 0.000
Br: 0.500 0.000 0.000
Br: 0.500 0.000 0.500
Br: 0.000 0.000 0.000
Br: 0.000 0.000 0.500
N: 0.500 0.500 0.000
N: 0.500 0.500 0.500
N: 0.000 0.500 0.500

Calculated values
Electronic total energy, eV/atom: -6.213
SG: C2/m, No. 12
Formation energy without anion corrections, eV per atom: -1.267